! MnZn2NiF, relaxed, DFT PBE+U; values from VASP
! Electronic total energy ... -14.3 eV per cell
&SYSTEM
  ibrav = 0, nat = 5, ntyp = 4
/
ATOMIC_SPECIES
Ni 58.69 Ni.upf
Zn 65.41 Zn.upf
Mn 54.94 Mn.upf
F 19.00 F.upf
CELL_PARAMETERS angstrom
4.554 0.000 0.000
0.000 3.928 0.000
0.000 0.000 4.554
ATOMIC_POSITIONS crystal
Ni 0.000 0.500 0.000
Zn 0.500 0.000 0.000
Zn 0.000 0.000 0.500
Mn 0.500 0.500 0.500
F 0.000 0.000 0.000